Record 1
Compound: Ca2MgTlH
Source: Alexandria
Functional: PBE
Structure: relaxed

Cell and atoms, written as POSCAR:
```
Ca2MgTlH
1.0
4.899 0.000 0.000
0.000 4.899 0.000
0.000 0.000 4.938
Ca Mg Tl H
2 1 1 1
direct
0.000 0.500 0.000
0.500 0.000 0.000
0.000 0.000 0.500
0.500 0.500 0.500
0.500 0.500 0.000
```

Properties
* density of states at the Fermi level: 3.0 states/eV per cell
* energy: -2.44 eV per atom
* size of the total moment: 0.0 μB per cell

Record 2
Compound: TlSICl2
Source: Alexandria
Functional: PBE
Structure: relaxed

Cell and atoms, written as POSCAR:
```
TlSICl2
1.0
5.084 0.000 0.000
0.000 5.084 0.000
0.000 0.000 5.808
Tl S I Cl
1 1 1 2
direct
0.000 0.000 0.000
0.000 0.000 0.500
0.500 0.500 0.500
0.000 0.500 0.000
0.500 0.000 0.000
```

Properties
* density of states at the Fermi level: 6.0 states/eV per cell
* energy: -2.22 eV per atom
* size of the total moment: 0.0 μB per cell
* uncorrected formation energy: 0.13 eV per atom

Record 3
Compound: Re2SeS2
Source: Alexandria
Functional: PBE
Structure: relaxed

Cell and atoms, written as POSCAR:
```
Re2SeS2
1.0
8.672 -1.549 0.000
8.672 1.549 0.000
-6.164 0.000 8.687
Re Se S
4 2 4
direct
0.007 0.007 0.193
0.481 0.481 0.371
0.519 0.519 0.629
0.993 0.993 0.807
0.113 0.113 0.097
0.887 0.887 0.903
0.132 0.132 0.799
0.384 0.384 0.624
0.616 0.616 0.376
0.868 0.868 0.201
```

Properties
* density of states at the Fermi level: 3.8 states/eV per cell
* energy: -7.51 eV per atom
* size of the total moment: 0.0 μB per cell
* uncorrected formation energy: -0.18 eV per atom

Record 4
Compound: NbAlGa
Source: Alexandria
Functional: PBE
Structure: relaxed

Cell and atoms, written as POSCAR:
```
NbAlGa
1.0
-1.410 1.410 7.244
1.410 -1.410 7.244
1.410 1.410 -7.244
Nb Al Ga
1 1 1
direct
0.000 0.000 0.000
0.816 0.816 0.000
0.640 0.640 0.000
```

Properties
* density of states at the Fermi level: 2.3 states/eV per cell
* energy: -5.40 eV per atom
* energy of formation from the pure elements: 0.213 eV/atom
* size of the total moment: 0.0 μB per cell